A geometry-optimized AcLa2Bi structure. Source: Alexandria, functional PBE-GGA.

Geometry as POSCAR:
```
AcLa2Bi
1.0
-2.1660 -3.6702 0.5261
1.2940 -2.8531 2.9367
-6.1969 2.3121 8.1111
Ac La Bi
1 2 1
direct
0.5002 0.5002 0.4997
0.0681 0.0681 0.7958
0.2652 0.2652 0.2042
0.6665 0.6665 0.0002
```

Properties
E (hartree per atom): -0.1766
Excess energy over the best structure of this formula in the dataset (meV per atom): 117
Formation energy from the elements (meV/atom): -344.9